PmPbWO6 after structural relaxation, computed with GGA+U.

a b c (Å): 7.213 7.440 7.224
angles (deg): 120.99 119.95 90.00
Each line ends with the local moment (μB).
Positions (direct):
W1 0.500 0.500 0.000  -0.08
W2 0.500 0.000 0.000  -0.08
O1 0.818 0.580 0.253  0.20
O2 0.566 0.420 0.747  0.20
O3 0.576 0.826 0.151  0.00
O4 0.891 0.141 0.781  0.10
O5 0.182 0.827 0.747  0.20
O6 0.182 0.420 0.747  0.20
O7 0.424 0.174 0.849  0.00
O8 0.434 0.580 0.253  0.20
O9 0.109 0.859 0.219  0.10
O10 0.566 0.827 0.747  0.20
O11 0.434 0.173 0.253  0.20
O12 0.818 0.173 0.253  0.20
Pm1 0.500 0.000 0.500  0.00
Pm2 0.000 0.000 0.500  0.00
Pb1 0.882 0.632 0.764  0.04
Pb2 0.118 0.368 0.236  0.04

Results
Its total energy is -126.37 eV/cell. The theoretical density is 7.8 g/cm³.